Entry 1:
Compound: ScOsN2
Source: Alexandria
Functional: PBE
Structure: relaxed

Its total energy is -0.3251 hartree per atom. The energy above the most stable polymorph in this dataset is 0.162 eV per atom.

The space group is R-3m (No. 166, hexagonal axes) and the conventional cell measures 3.1797, 3.1797 and 18.0777 Å, with angles of 90.00, 90.00 and 120.00 degrees. The distinct sites, in fractional coordinates, are Sc at (0.0000, 0.0000, 0.0000), Os at (0.0000, 0.0000, 0.5000) and N at (0.0000, 0.0000, 0.3982).

---

Entry 2:
Compound: Ba2ScSn3Pd4
Source: Alexandria
Functional: PBE
Structure: relaxed

Its total energy is -0.1848 hartree per atom.

The space group is P-4m2 (No. 115) and the conventional cell measures 4.694, 4.694 and 11.284 Å, with angles of 90.00, 90.00 and 90.00 degrees. The distinct sites, in fractional coordinates, are Ba at (0.000, 0.500, 0.241), Sc at (0.000, 0.000, 0.500), Sn at (0.000, 0.500, 0.880), Sn at (0.500, 0.500, 0.500), Pd at (0.000, 0.000, 0.000), Pd at (0.000, 0.500, 0.634) and Pd at (0.500, 0.500, 0.000).

---

Entry 3:
Compound: Rb4Tl3Au2
Source: Alexandria
Functional: PBE
Structure: relaxed

Its total energy is -0.0772 hartree per atom.

The space group is C2/m (No. 12) and the conventional cell measures 19.016, 4.736 and 8.685 Å, with angles of 90.00, 107.70 and 90.00 degrees. The distinct sites, in fractional coordinates, are Rb at (0.079, 0.000, 0.371), Rb at (0.229, 0.500, 0.182), Tl at (0.000, 0.500, 0.000), Tl at (0.098, 0.500, 0.738) and Au at (0.090, 0.000, 0.934).

---

Entry 4:
Compound: MgTaGa3
Source: Alexandria
Functional: PBE
Structure: relaxed

Its total energy is -0.1219 hartree per atom. The energy above the most stable polymorph in this dataset is 0.692 eV per atom.

The space group is Pm-3m (No. 221) and the conventional cell measures 4.766, 4.766 and 4.766 Å, with angles of 90.00, 90.00 and 90.00 degrees. The distinct sites, in fractional coordinates, are Mg at (0.000, 0.000, 0.000), Ta at (0.500, 0.500, 0.500) and Ga at (0.000, 0.000, 0.500).

---

Entry 5:
Compound: Li2CoH6Ir
Source: Alexandria
Functional: PBE
Structure: relaxed

Its total energy is -0.1550 hartree per atom.

The space group is I4/mmm (No. 139) and the conventional cell measures 4.705, 4.705 and 6.683 Å, with angles of 90.00, 90.00 and 90.00 degrees. The distinct sites, in fractional coordinates, are Li at (0.000, 0.500, 0.250), Co at (0.000, 0.000, 0.000), H at (0.000, 0.000, 0.244), H at (0.244, 0.244, 0.000) and Ir at (0.000, 0.000, 0.500).

---

Entry 6:
Compound: Na2Ga9Pd6
Source: Alexandria
Functional: PBE
Structure: relaxed

Its total energy is -0.1451 hartree per atom.

The space group is P6/mmm (No. 191) and the conventional cell measures 5.4540, 5.4540 and 12.5142 Å, with angles of 90.00, 90.00 and 120.00 degrees. The distinct sites, in fractional coordinates, are Na at (0.0000, 0.0000, 0.1670), Ga at (0.0000, 0.5000, 0.0000), Ga at (0.0000, 0.5000, 0.3364), Pd at (0.3333, 0.6667, 0.1686) and Pd at (0.3333, 0.6667, 0.5000).

---

Entry 7:
Compound: LaBe3Tl
Source: Alexandria
Functional: PBE
Structure: relaxed

Its total energy is -0.1091 hartree per atom. The energy above the most stable polymorph in this dataset is 0.000 eV per atom.

The space group is Pm-3m (No. 221) and the conventional cell measures 4.625, 4.625 and 4.625 Å, with angles of 90.00, 90.00 and 90.00 degrees. The distinct sites, in fractional coordinates, are La at (0.000, 0.000, 0.000), Be at (0.000, 0.500, 0.500) and Tl at (0.500, 0.500, 0.500).

---

Entry 8:
Compound: NbInP2Cl
Source: Alexandria
Functional: PBE
Structure: relaxed

Its total energy is -0.1912 hartree per atom. The energy above the most stable polymorph in this dataset is 0.000 eV per atom.

The space group is P4/mmm (No. 123) and the conventional cell measures 4.857, 4.857 and 5.114 Å, with angles of 90.00, 90.00 and 90.00 degrees. The distinct sites, in fractional coordinates, are Nb at (0.000, 0.000, 0.000), In at (0.500, 0.500, 0.500), P at (0.000, 0.500, 0.000) and Cl at (0.000, 0.000, 0.500).

---

Entry 9:
Compound: Ir5Cl
Source: Alexandria
Functional: PBE
Structure: relaxed

Its total energy is -0.2596 hartree per atom.

The space group is Amm2 (No. 38) and the conventional cell measures 4.445, 2.790 and 14.702 Å, with angles of 90.00, 90.00 and 90.00 degrees. The distinct sites, in fractional coordinates, are Ir at (0.000, 0.000, 0.000), Ir at (0.000, 0.000, 0.327), Ir at (0.000, 0.000, 0.672), Ir at (0.500, 0.000, 0.435), Ir at (0.500, 0.000, 0.782) and Cl at (0.500, 0.000, 0.087).

---

Entry 10:
Compound: ScCrP2S
Source: Alexandria
Functional: PBE
Structure: relaxed

Its total energy is -0.2319 hartree per atom. The energy above the most stable polymorph in this dataset is 0.000 eV per atom.

The space group is P4/mmm (No. 123) and the conventional cell measures 4.263, 4.263 and 5.047 Å, with angles of 90.00, 90.00 and 90.00 degrees. The distinct sites, in fractional coordinates, are Sc at (0.000, 0.000, 0.000), Cr at (0.500, 0.500, 0.500), P at (0.000, 0.500, 0.500) and S at (0.500, 0.500, 0.000).

---

Entry 11:
Compound: K3Sn5Br12
Source: Alexandria
Functional: PBE
Structure: relaxed

Its total energy is -0.1140 hartree per atom.

The space group is Ia-3d (No. 230) and the conventional cell measures 18.774, 18.774 and 18.774 Å, with angles of 90.00, 90.00 and 90.00 degrees. The distinct sites, in fractional coordinates, are K at (0.000, 0.250, 0.125), Sn at (0.000, 0.000, 0.000), Sn at (0.000, 0.250, 0.375) and Br at (0.025, 0.059, 0.648).

---

Entry 12:
Compound: Tm4Ag2Pt
Source: Alexandria
Functional: PBE
Structure: relaxed

Its total energy is -0.1732 hartree per atom.

The space group is R-3m (No. 166, hexagonal axes) and the conventional cell measures 4.9591, 4.9591 and 24.4166 Å, with angles of 90.00, 90.00 and 120.00 degrees. The distinct sites, in fractional coordinates, are Tm at (0.0000, 0.0000, 0.1227), Tm at (0.0000, 0.0000, 0.3728), Ag at (0.0000, 0.0000, 0.2461) and Pt at (0.0000, 0.0000, 0.0000).

---

Entry 13:
Compound: BaLaAg2
Source: Alexandria
Functional: PBE
Structure: relaxed

Its total energy is -0.1164 hartree per atom.

The space group is C2 (No. 5) and the conventional cell measures 7.520, 7.559 and 5.333 Å, with angles of 90.00, 134.78 and 90.00 degrees. The distinct sites, in fractional coordinates, are Ba at (0.000, 0.000, 0.000), La at (0.000, 0.251, 0.500), Ag at (0.000, 0.501, 0.000) and Ag at (0.000, 0.750, 0.500).

---

Entry 14:
Compound: TbAl2Co2Si
Source: Alexandria
Functional: PBE
Structure: relaxed

Its total energy is -0.2087 hartree per atom.

The space group is P4/mmm (No. 123) and the conventional cell measures 4.229, 4.229 and 5.570 Å, with angles of 90.00, 90.00 and 90.00 degrees. The distinct sites, in fractional coordinates, are Tb at (0.000, 0.000, 0.000), Al at (0.500, 0.500, 0.246), Co at (0.000, 0.500, 0.500) and Si at (0.000, 0.000, 0.500).

---

Entry 15:
Compound: CdWAu2
Source: Alexandria
Functional: PBE
Structure: relaxed

Its total energy is -0.1695 hartree per atom. The energy above the most stable polymorph in this dataset is 0.314 eV per atom.

The space group is Immm (No. 71) and the conventional cell measures 2.791, 5.208 and 10.353 Å, with angles of 90.00, 90.00 and 90.00 degrees. The distinct sites, in fractional coordinates, are Cd at (0.000, 0.000, 0.000), W at (0.000, 0.000, 0.500) and Au at (0.000, 0.500, 0.233).

---

Entry 16:
Compound: ZrAg2Os
Source: Alexandria
Functional: PBE
Structure: relaxed

Its total energy is -0.2213 hartree per atom. The energy above the most stable polymorph in this dataset is 0.276 eV per atom.

The space group is Cmmm (No. 65) and the conventional cell measures 5.502, 9.025 and 2.823 Å, with angles of 90.00, 90.00 and 90.00 degrees. The distinct sites, in fractional coordinates, are Zr at (0.000, 0.000, 0.000), Ag at (0.250, 0.250, 0.500) and Os at (0.000, 0.500, 0.000).

---

Entry 17:
Compound: TlGe2Se
Source: Alexandria
Functional: PBE
Structure: relaxed

Its total energy is -0.1289 hartree per atom. The energy above the most stable polymorph in this dataset is 0.000 eV per atom.

The space group is I-42d (No. 122) and the conventional cell measures 6.159, 6.159 and 13.049 Å, with angles of 90.00, 90.00 and 90.00 degrees. The distinct sites, in fractional coordinates, are Tl at (0.000, 0.000, 0.000), Ge at (0.233, 0.250, 0.625) and Se at (0.000, 0.000, 0.500).

---

Entry 18:
Compound: HoGa2Tc2B
Source: Alexandria
Functional: PBE
Structure: relaxed

Its total energy is -0.2496 hartree per atom.

The space group is P4/mmm (No. 123) and the conventional cell measures 4.226, 4.226 and 5.450 Å, with angles of 90.00, 90.00 and 90.00 degrees. The distinct sites, in fractional coordinates, are Ho at (0.000, 0.000, 0.000), Ga at (0.500, 0.500, 0.226), Tc at (0.000, 0.500, 0.500) and B at (0.000, 0.000, 0.500).

---

Entry 19:
Compound: Hg2HPd
Source: Alexandria
Functional: PBE
Structure: relaxed

Its total energy is -0.0835 hartree per atom. The energy above the most stable polymorph in this dataset is 0.000 eV per atom.

The space group is P2_1/m (No. 11) and the conventional cell measures 2.943, 7.761 and 6.321 Å, with angles of 90.00, 90.10 and 90.00 degrees. The distinct sites, in fractional coordinates, are Hg at (0.248, 0.038, 0.295), H at (0.246, 0.250, 0.848) and Pd at (0.254, 0.750, 0.002).

---

Entry 20:
Compound: NaGa2Au7
Source: Alexandria
Functional: PBE
Structure: relaxed

Its total energy is -0.1156 hartree per atom.

The space group is Cmmm (No. 65) and the conventional cell measures 7.544, 12.628 and 4.694 Å, with angles of 90.00, 90.00 and 90.00 degrees. The distinct sites, in fractional coordinates, are Na at (0.000, 0.000, 0.000), Ga at (0.000, 0.285, 0.500), Au at (0.000, 0.373, 0.000), Au at (0.000, 0.500, 0.500) and Au at (0.185, 0.116, 0.500).